{"formula": "Tl2Te2Pb", "functional": "PBE", "state": "optimized geometry", "spacegroup": "No. 127", "formation_energy_uncorrected_ev_per_atom": -0.1781, "n_ef_per_ev_cell": 7.69, "lattice": [[8.867, 0.000, 0.000], [0.000, 8.867, 0.000], [0.000, 0.000, 4.403]], "species": ["Tl", "Tl", "Tl", "Tl", "Te", "Te", "Te", "Te", "Pb", "Pb"], "fractional_positions": [[0.136, 0.364, 0.000], [0.364, 0.864, 0.000], [0.636, 0.136, 0.000], [0.864, 0.636, 0.000], [0.172, 0.672, 0.500], [0.328, 0.172, 0.500], [0.672, 0.828, 0.500], [0.828, 0.328, 0.500], [0.000, 0.000, 0.500], [0.500, 0.500, 0.500]]}



{"formula": "Tl2TePb2", "functional": "PBE", "state": "optimized geometry", "spacegroup": "No. 127", "formation_energy_uncorrected_ev_per_atom": -0.0095, "n_ef_per_ev_cell": 8.32, "lattice": [[8.425, 0.000, 0.000], [0.000, 8.425, 0.000], [0.000, 0.000, 4.747]], "species": ["Tl", "Tl", "Tl", "Tl", "Te", "Te", "Pb", "Pb", "Pb", "Pb"], "fractional_positions": [[0.167, 0.333, 0.000], [0.333, 0.833, 0.000], [0.667, 0.167, 0.000], [0.833, 0.667, 0.000], [0.000, 0.000, 0.500], [0.500, 0.500, 0.500], [0.140, 0.640, 0.500], [0.360, 0.140, 0.500], [0.640, 0.860, 0.500], [0.860, 0.360, 0.500]]}



Q: Number 1 is which compound?
A: Tl2Te2Pb



Q: What is the formula in the first record?
A: Tl2Te2Pb



Q: Number 2 is which compound?
A: Tl2TePb2